[1]
The following is a DFT calculation (PBE) of a geometry-optimized ZnGa2Ni4 structure.

Geometry as POSCAR:
```
ZnGa2Ni4
1.0
-2.335 3.090 1.801
-1.327 -2.746 2.991
2.854 1.689 5.868
Ni Zn Ga
4 1 2
direct
0.807 0.807 0.385
0.000 0.500 0.000
0.500 0.000 0.000
0.193 0.193 0.615
0.000 0.000 0.000
0.383 0.383 0.234
0.617 0.617 0.766
```

Summary:
**Energy relative to the elements**: 3.2 eV/f.u.
**Space-group type**: I4/mmm, No. 139
**Volume**: 15.71 Å³/atom

=====

[2]
The following is a DFT calculation (PBE) of a geometry-optimized Zn8Ga2Ni structure.

Geometry as POSCAR:
```
Zn8Ga2Ni
1.0
4.191 0.000 0.000
0.000 5.015 -0.301
-2.096 -2.465 8.470
Ni Ga Zn
1 2 8
direct
0.500 0.000 0.000
0.824 0.208 0.649
0.176 0.792 0.351
0.422 0.471 0.844
0.578 0.529 0.156
0.018 0.776 0.037
0.982 0.224 0.963
0.250 0.345 0.500
0.645 0.122 0.290
0.355 0.878 0.710
0.750 0.655 0.500
```

Summary:
**Energy relative to the elements**: -0.1 eV/f.u.
**Space-group type**: C2/m, No. 12
**Volume**: 15.90 Å³/atom

=====

[3]
The following is a DFT calculation (PBE) of a geometry-optimized ZnGa3Ni structure.

Geometry as POSCAR:
```
ZnGa3Ni
1.0
-1.120 -4.446 -0.304
2.847 -0.473 -3.576
3.428 -1.060 2.870
Ga Zn Ni
3 1 1
direct
0.000 0.000 0.500
0.000 0.500 0.000
0.500 0.000 0.000
0.500 0.500 0.500
0.000 0.000 0.000
```

Summary:
**Energy relative to the elements**: 0.0 eV/f.u.
**Space-group type**: Pm-3m, No. 221
**Volume**: 19.41 Å³/atom

=====

[4]
The following is a DFT calculation (PBE) of a geometry-optimized ZnGa2Ni8 structure.

Geometry as POSCAR:
```
ZnGa2Ni8
1.0
4.118 0.994 0.000
1.625 6.202 0.000
0.813 3.101 5.616
Ni Ga Zn
8 2 1
direct
0.139 0.899 0.779
0.861 0.322 0.779
0.139 0.678 0.221
0.861 0.101 0.221
0.310 0.412 0.000
0.500 0.788 0.424
0.500 0.212 0.576
0.690 0.588 0.000
0.000 0.694 0.611
0.000 0.306 0.389
0.500 0.000 0.000
```

Summary:
**Energy relative to the elements**: -0.6 eV/f.u.
**Space-group type**: C2/m, No. 12
**Volume**: 12.21 Å³/atom

=====

[5]
The following is a DFT calculation (PBE) of a geometry-optimized Zn2GaNi2 structure.

Geometry as POSCAR:
```
Zn2GaNi2
1.0
-3.246 -6.016 1.393
5.896 -3.487 -1.320
0.718 0.220 2.624
Zn Ni Ga
4 4 2
direct
0.871 0.629 0.000
0.371 0.871 0.000
0.129 0.371 0.000
0.629 0.129 0.000
0.668 0.832 0.500
0.832 0.332 0.500
0.168 0.668 0.500
0.332 0.168 0.500
0.500 0.500 0.000
0.000 0.000 0.000
```

Summary:
**Energy relative to the elements**: -0.5 eV/f.u.
**Space-group type**: P4/mbm, No. 127
**Volume**: 13.28 Å³/atom

=====

[6]
The following is a DFT calculation (PBE) of a geometry-optimized Zn2GaNi structure.

Geometry as POSCAR:
```
Zn2GaNi
1.0
3.856 0.000 0.000
0.000 3.743 0.000
0.000 0.000 3.743
Ni Zn Ga
1 2 1
direct
0.500 0.500 0.500
0.000 0.000 0.500
0.000 0.500 0.000
0.500 0.000 0.000
```

Summary:
**Energy relative to the elements**: -0.5 eV/f.u.
**Space-group type**: P4/mmm, No. 123
**Volume**: 13.50 Å³/atom

=====

[7]
The following is a DFT calculation (PBE) of a geometry-optimized ZnGa2Ni2 structure.

Geometry as POSCAR:
```
ZnGa2Ni2
1.0
3.581 0.000 0.000
0.000 3.581 0.000
1.790 1.790 5.704
Ga Ni Zn
2 2 1
direct
0.250 0.750 0.500
0.750 0.250 0.500
0.397 0.397 0.205
0.603 0.603 0.795
0.000 0.000 0.000
```

Summary:
**Energy relative to the elements**: -0.3 eV/f.u.
**Space-group type**: I4/mmm, No. 139
**Volume**: 14.63 Å³/atom

=====

[8]
The following is a DFT calculation (PBE) of a geometry-optimized ZnGaNi5 structure.

Geometry as POSCAR:
```
ZnGaNi5
1.0
4.696 0.523 -0.560
1.986 4.288 -0.560
2.102 1.513 8.624
Ga Ni Zn
2 10 2
direct
0.000 0.000 0.000
0.000 0.000 0.500
0.185 0.288 0.815
0.300 0.385 0.547
0.385 0.300 0.047
0.204 0.796 0.750
0.815 0.712 0.185
0.796 0.204 0.250
0.615 0.700 0.953
0.712 0.815 0.685
0.288 0.185 0.315
0.700 0.615 0.453
0.306 0.694 0.250
0.694 0.306 0.750
```

Summary:
**Energy relative to the elements**: -0.1 eV/f.u.
**Space-group type**: C2/c, No. 15
**Volume**: 12.24 Å³/atom

=====

[9]
The following is a DFT calculation (PBE) of a geometry-optimized Zn2GaNi2 structure.

Geometry as POSCAR:
```
Zn2GaNi2
1.0
6.186 0.000 0.000
0.000 6.186 0.000
0.000 0.000 3.557
Zn Ga Ni
4 2 4
direct
0.847 0.347 0.500
0.347 0.153 0.500
0.653 0.847 0.500
0.153 0.653 0.500
0.500 0.500 0.000
0.000 0.000 0.000
0.145 0.355 0.000
0.855 0.645 0.000
0.645 0.145 0.000
0.355 0.855 0.000
```

Summary:
**Energy relative to the elements**: -1.0 eV/f.u.
**Space-group type**: P4/mbm, No. 127
**Volume**: 13.61 Å³/atom

=====

[10]
The following is a DFT calculation (PBE) of a geometry-optimized ZnGaNi2 structure.

Geometry as POSCAR:
```
ZnGaNi2
1.0
-5.800 -1.529 -2.484
2.831 -1.621 -5.612
-1.205 -4.003 -3.206
Ni Zn Ga
4 2 2
direct
0.875 0.882 0.750
0.632 0.125 0.250
0.118 0.625 0.250
0.375 0.368 0.750
0.500 0.500 0.000
0.250 0.750 0.500
0.750 0.250 0.500
0.000 0.000 0.000
```

Summary:
**Energy relative to the elements**: 0.1 eV/f.u.
**Space-group type**: I-42d, No. 122
**Volume**: 13.62 Å³/atom

=====

[11]
The following is a DFT calculation (PBE) of a geometry-optimized Zn2GaNi5 structure.

Geometry as POSCAR:
```
Zn2GaNi5
1.0
-0.031 0.041 -3.779
-0.512 -3.744 -0.036
-6.275 2.746 1.970
Zn Ga Ni
2 1 5
direct
0.749 0.749 0.497
0.251 0.251 0.503
0.000 0.000 0.000
0.377 0.877 0.754
0.877 0.377 0.754
0.123 0.623 0.246
0.623 0.123 0.246
0.500 0.500 0.000
```

Summary:
**Energy relative to the elements**: -2.0 eV/f.u.
**Space-group type**: I4/mmm, No. 139
**Volume**: 11.79 Å³/atom

=====

[12]
The following is a DFT calculation (PBE) of a geometry-optimized ZnGa4Ni2 structure.

Geometry as POSCAR:
```
ZnGa4Ni2
1.0
3.756 0.000 1.216
1.681 3.359 1.216
-0.724 -0.448 8.647
Ga Ni Zn
4 2 1
direct
0.803 0.803 0.591
0.602 0.602 0.193
0.197 0.197 0.409
0.398 0.398 0.807
0.097 0.097 0.708
0.903 0.903 0.292
0.000 0.000 0.000
```

Summary:
**Energy relative to the elements**: -1.6 eV/f.u.
**Space-group type**: R-3m, No. 166
**Volume**: 16.17 Å³/atom